First-principles (GGA-PBE) data for crystalline KBa4Ir at its relaxed geometry, as listed in Alexandria via LeMat-Bulk.

a = 7.1270 Å, b = 7.9989 Å, c = 7.9989 Å
α = 101.45°, β = 116.46°, γ = 63.54°
Element x y z (fractional)
K 0.7500 0.5000 0.5000
Ba 0.3653 0.0876 0.3052
Ba 0.1477 0.9124 0.6948
Ba 0.5471 0.3052 0.9124
Ba 0.9399 0.6948 0.0876
Ir 0.5000 0.0000 0.0000

Output
Total magnetization: 0.0 Bohr magnetons per cell
Electronic total energy: -2.8502 eV/atom
ΔE to the lowest computed polymorph: 0 meV per atom
Formation enthalpy at 0 K: 0.09 eV per atom
Symmetry: I-4